(1)
Compound: Bi3AsO7
Source: Alexandria
Functional: GGA-PBE
Structure: optimized geometry

Lattice parameters (Å, degrees): 6.6539 6.6539 7.5382 90.00 90.00 108.76
Positions (direct):
Bi  0.5444  0.5444  0.0000
O  0.6375  0.3625  0.2500
Bi  0.9994  0.5318  0.7402
O  0.2845  0.0387  0.0348
O  0.0387  0.2845  0.9652
Bi  0.5318  0.9994  0.2598
O  0.9276  0.6989  0.0289
O  0.9613  0.7155  0.4652
Bi  0.4556  0.4556  0.5000
O  0.7155  0.9613  0.5348
O  0.6989  0.9276  0.9711
O  0.0724  0.3011  0.5289
O  0.6310  0.3690  0.7500
As  0.0026  0.0026  0.0000
Bi  0.0006  0.4682  0.2402
O  0.3011  0.0724  0.4711
O  0.9467  0.0533  0.2500
Bi  0.4682  0.0006  0.7598
O  0.0533  0.9467  0.7500
As  0.9974  0.9974  0.5000
O  0.3625  0.6375  0.7500
O  0.3690  0.6310  0.2500

Values from the calculation:
The space group is C222_1, No. 20. Its uncorrected formation energy is -1.202 eV per atom.

***

(2)
Compound: BiAsO2
Source: Alexandria
Functional: GGA-PBE
Structure: optimized geometry

Lattice parameters (Å, degrees): 4.3390 4.3390 4.3390 60.00 60.00 60.00
Positions (direct):
O  0.7500  0.7500  0.7500
Bi  0.5000  0.5000  0.5000
O  0.2500  0.2500  0.2500
As  0.0000  0.0000  0.0000

Values from the calculation:
The value obtained for the relative energy among the computed polymorphs is 0.593 eV per atom. The space group is Fm-3m, No. 225. Its uncorrected formation energy is -0.042 eV per atom.

***

(3)
Compound: Bi3AsO
Source: Alexandria
Functional: GGA-PBE
Structure: optimized geometry

Lattice parameters (Å, degrees): 4.9639 4.9639 4.9639 90.00 90.00 90.00
Positions (direct):
Bi  0.0000  0.5000  0.0000
As  0.5000  0.5000  0.5000
Bi  0.0000  0.0000  0.5000
Bi  0.5000  0.0000  0.0000
O  0.0000  0.0000  0.0000

Values from the calculation:
The value obtained for the relative energy among the computed polymorphs is 0.000 eV per atom. The space group is Pm-3m, No. 221. Its uncorrected formation energy is 0.054 eV per atom.

***

(4)
Compound: BiAsPO2
Source: Alexandria
Functional: GGA-PBE
Structure: optimized geometry

Lattice parameters (Å, degrees): 3.9939 3.9939 4.8482 90.00 90.00 90.00
Positions (direct):
O  0.0000  0.5000  0.0000
P  0.0000  0.0000  0.5000
As  0.0000  0.0000  0.0000
O  0.5000  0.0000  0.0000
Bi  0.5000  0.5000  0.5000

Values from the calculation:
The value obtained for the relative energy among the computed polymorphs is 0.000 eV per atom. The space group is P4/mmm, No. 123. Its uncorrected formation energy is -0.286 eV per atom.

***

(5)
Compound: BiAsPO2
Source: Alexandria
Functional: GGA-PBE
Structure: optimized geometry

Lattice parameters (Å, degrees): 3.8353 6.2758 3.8353 90.00 90.00 90.00
Positions (direct):
As  0.0000  0.0000  0.0000
Bi  0.0000  0.5000  0.0000
O  0.0000  0.0000  0.5000
O  0.5000  0.0000  0.0000
P  0.5000  0.5000  0.5000

Values from the calculation:
The value obtained for the relative energy among the computed polymorphs is 0.297 eV per atom. The space group is P4/mmm, No. 123. Its uncorrected formation energy is 0.011 eV per atom.

***

(6)
Compound: BiAsPO2
Source: Alexandria
Functional: GGA-PBE
Structure: optimized geometry

Lattice parameters (Å, degrees): 4.1185 4.1185 5.7327 90.00 90.00 90.00
Positions (direct):
Bi  0.0000  0.0000  0.0000
As  0.5000  0.5000  0.5000
O  0.5000  0.0000  0.0000
P  0.0000  0.0000  0.5000
O  0.0000  0.5000  0.0000

Values from the calculation:
The value obtained for the relative energy among the computed polymorphs is 0.503 eV per atom. The space group is P4/mmm, No. 123. Its uncorrected formation energy is 0.217 eV per atom.

***

(7)
Compound: BiAsP2O
Source: Alexandria
Functional: GGA-PBE
Structure: optimized geometry

Lattice parameters (Å, degrees): 4.9344 4.9344 3.7830 90.00 90.00 90.00
Positions (direct):
O  0.0000  0.0000  0.5000
P  0.0000  0.5000  0.0000
As  0.0000  0.0000  0.0000
Bi  0.5000  0.5000  0.5000
P  0.5000  0.0000  0.0000

Values from the calculation:
The value obtained for the relative energy among the computed polymorphs is 0.000 eV per atom. The space group is P4/mmm, No. 123. Its uncorrected formation energy is 0.194 eV per atom.

***

(8)
Compound: BiAsP2O
Source: Alexandria
Functional: GGA-PBE
Structure: optimized geometry

Lattice parameters (Å, degrees): 5.2733 5.2733 4.1137 90.00 90.00 90.00
Positions (direct):
P  0.5000  0.0000  0.0000
As  0.5000  0.5000  0.5000
O  0.0000  0.0000  0.5000
P  0.0000  0.5000  0.0000
Bi  0.0000  0.0000  0.0000

Values from the calculation:
The value obtained for the relative energy among the computed polymorphs is 0.662 eV per atom. The space group is P4/mmm, No. 123. Its uncorrected formation energy is 0.856 eV per atom.

***

(9)
Compound: PaBiAs2O8
Source: Alexandria
Functional: GGA-PBE
Structure: optimized geometry

Lattice parameters (Å, degrees): 6.1461 6.1461 6.1461 107.56 107.56 113.37
Positions (direct):
O  0.2985  0.5016  0.2031
O  0.9047  0.7015  0.2031
O  0.2985  0.0953  0.7969
As  0.7500  0.2500  0.5000
As  0.5000  0.5000  0.0000
Bi  0.0000  0.0000  0.0000
Pa  0.2500  0.7500  0.5000
O  0.9234  0.5980  0.6746
O  0.7512  0.0766  0.6746
O  0.4984  0.7015  0.7969
O  0.9234  0.2488  0.3254
O  0.4020  0.0766  0.3254

Values from the calculation:
The space group is I-4m2, No. 119. Its uncorrected formation energy is -1.821 eV per atom.

***

(10)
Compound: PaBiAsO6
Source: Alexandria
Functional: GGA-PBE
Structure: optimized geometry

Lattice parameters (Å, degrees): 5.5811 5.5811 9.8595 90.00 90.00 120.00
Positions (direct):
O  0.9746  0.3437  0.1390
O  0.9746  0.6309  0.3610
O  0.0254  0.3691  0.6390
O  0.6563  0.0254  0.3610
O  0.3691  0.3437  0.3610
O  0.6563  0.6309  0.1390
O  0.6309  0.6563  0.6390
O  0.0254  0.6563  0.8610
O  0.3437  0.3691  0.8610
O  0.6309  0.9746  0.8610
O  0.3691  0.0254  0.1390
As  0.3333  0.6667  0.7500
Bi  0.0000  0.0000  0.5000
Bi  0.0000  0.0000  0.0000
Pa  0.3333  0.6667  0.2500
As  0.6667  0.3333  0.2500
Pa  0.6667  0.3333  0.7500
O  0.3437  0.9746  0.6390

Values from the calculation:
The space group is P-31c, No. 163. Its uncorrected formation energy is -1.961 eV per atom.

***

(11)
Compound: BiAsPbO5
Source: Alexandria
Functional: GGA-PBE
Structure: optimized geometry

Lattice parameters (Å, degrees): 7.2577 7.2577 7.2271 70.09 70.09 45.55
Positions (direct):
As  0.6636  0.6636  0.3514
Bi  0.0134  0.0134  0.7487
As  0.3364  0.3364  0.6486
O  0.6071  0.1108  0.7707
O  0.8892  0.3929  0.2293
O  0.2000  0.2000  0.6967
Pb  0.6616  0.6616  0.8795
O  0.7642  0.2358  0.0000
O  0.1108  0.6071  0.7707
Pb  0.3384  0.3384  0.1205
O  0.8000  0.8000  0.3033
O  0.2358  0.7642  0.0000
O  0.4114  0.4114  0.3983
O  0.5886  0.5886  0.6017
Bi  0.9866  0.9866  0.2513
O  0.3929  0.8892  0.2293

Values from the calculation:
The space group is C2/m, No. 12. Its uncorrected formation energy is -1.288 eV per atom.

***

(12)
Compound: Bi17As5Pb5O43
Source: Alexandria
Functional: GGA-PBE
Structure: optimized geometry

Lattice parameters (Å, degrees): 11.9662 11.9662 11.9315 119.00 119.00 90.65
Positions (direct):
Bi  0.0133  0.3442  0.9924
Bi  0.0090  0.0090  0.6605
O  0.1786  0.5579  0.5837
O  0.3501  0.8238  0.7428
O  0.0612  0.0612  0.1583
O  0.6462  0.4390  0.8258
O  0.5970  0.7776  0.5313
Bi  0.3553  0.3553  0.3361
O  0.0479  0.2252  0.8082
O  0.5974  0.3961  0.5509
Bi  0.6532  0.6532  0.9880
O  0.7776  0.5970  0.5313
O  0.4390  0.6462  0.8258
O  0.5165  0.5165  0.9663
O  0.9708  0.8078  0.8765
O  0.5001  0.5001  0.3783
Bi  0.6293  0.3575  0.9886
O  0.0501  0.5751  0.7863
Bi  0.3473  0.0205  0.7019
O  0.5579  0.1786  0.5837
O  0.2252  0.0479  0.8082
Bi  0.0265  0.6698  0.9816
O  0.0800  0.0800  0.5661
O  0.2326  0.7849  0.1391
O  0.6001  0.7815  0.1622
O  0.0047  0.5125  0.2274
O  0.5996  0.4220  0.1707
O  0.2191  0.3944  0.1662
O  0.0122  0.7562  0.2372
O  0.9145  0.4429  0.4460
O  0.7438  0.9976  0.4664
O  0.8078  0.9708  0.8765
Pb  0.3199  0.3199  0.6562
Bi  0.6698  0.0265  0.9816
O  0.0904  0.4891  0.9684
Bi  0.0205  0.3473  0.7019
O  0.5125  0.0047  0.2274
O  0.2374  0.4119  0.8136
O  0.8238  0.3501  0.7428
O  0.2436  0.0623  0.4537
Bi  0.9981  0.6494  0.6363
As  0.6579  0.9613  0.2821
O  0.4429  0.9145  0.4460
Pb  0.3382  0.3382  0.0183
Bi  0.0063  0.3429  0.3301
Bi  0.3429  0.0063  0.3301
As  0.3379  0.6579  0.6690
O  0.0523  0.0523  0.9137
O  0.4220  0.5996  0.1707
O  0.4119  0.2374  0.8136
As  0.9763  0.9763  0.9606
O  0.7815  0.6001  0.1622
O  0.3961  0.5974  0.5509
Bi  0.6494  0.9981  0.6363
Bi  0.0247  0.0247  0.3423
Bi  0.6511  0.6511  0.6183
Pb  0.6613  0.6613  0.3230
Bi  0.3575  0.6293  0.9886
O  0.5751  0.0501  0.7863
O  0.4891  0.0904  0.9684
O  0.7562  0.0122  0.2372
As  0.6579  0.3379  0.6690
O  0.0623  0.2436  0.4537
Pb  0.3440  0.6749  0.3270
Pb  0.6749  0.3440  0.3270
Bi  0.3442  0.0133  0.9924
O  0.7849  0.2326  0.1391
As  0.9613  0.6579  0.2821
O  0.3944  0.2191  0.1662
O  0.9976  0.7438  0.4664

Values from the calculation:
The space group is Cm, No. 8. Its uncorrected formation energy is -1.253 eV per atom.